No. 1
Compound: MnMo2W
Source: the Alexandria database
Functional: GGA-PBE
Structure: relaxed

Calculated values
Electronic total energy, eV per atom: -10.81
Space-group type: No. 225
ΔH_f (0 K), kJ/mol of atoms: 14
Excess energy over the best structure of this formula in the dataset, eV/atom: 0.086

Geometry as POSCAR:
```
MnMo2W
1.0
0.000 3.094 3.094
3.094 0.000 3.094
3.094 3.094 0.000
Mn Mo W
1 2 1
Cartesian
0.000 0.000 0.000
1.547 1.547 1.547
4.641 4.641 4.641
3.094 3.094 3.094
```

No. 2
Compound: Y3HoCu2
Source: the Alexandria database
Functional: GGA-PBE
Structure: relaxed

Calculated values
Electronic total energy, eV per atom: -5.35
Space-group type: No. 72
ΔH_f (0 K), kJ/mol of atoms: 1
Excess energy over the best structure of this formula in the dataset, eV/atom: 0.179

Geometry as POSCAR:
```
Y3HoCu2
1.0
-3.393 6.724 3.602
3.393 -6.724 3.602
3.393 6.724 -3.602
Y Ho Cu
6 2 4
Cartesian
3.393 -3.142 1.801
0.000 0.000 1.801
3.393 3.142 1.801
0.000 3.582 1.801
0.000 0.000 5.403
0.000 9.867 1.801
3.393 0.000 0.000
0.000 6.724 0.000
1.423 1.892 0.000
1.423 -1.892 3.602
1.970 8.616 0.000
1.970 4.833 3.602
```

No. 3
Compound: Pm4CoAsI2
Source: the Alexandria database
Functional: GGA-PBE
Structure: relaxed

Calculated values
Uncorrected formation energy, eV per atom: -0.913
Electronic total energy, eV per atom: -5.15
Space-group type: No. 10

Geometry as POSCAR:
```
Pm4CoAsI2
1.0
7.594 0.000 0.000
0.000 4.082 0.000
-2.300 0.000 7.799
Pm Co As I
4 1 1 2
Cartesian
1.126 0.000 1.413
0.041 2.041 6.311
5.253 2.041 1.488
4.168 0.000 6.386
0.000 2.041 0.000
3.797 0.000 0.000
-1.150 0.000 3.899
2.647 2.041 3.899
```

No. 4
Compound: Be2SnMo2
Source: the Alexandria database
Functional: GGA-PBE
Structure: relaxed

Calculated values
Electronic total energy, eV per atom: -6.61
Space-group type: No. 127
ΔH_f (0 K), kJ/mol of atoms: 1

Geometry as POSCAR:
```
Be2SnMo2
1.0
6.311 0.000 0.000
0.000 6.311 0.000
0.000 0.000 3.359
Be Sn Mo
4 2 4
Cartesian
0.719 2.437 0.000
2.437 5.592 0.000
3.875 0.719 0.000
5.592 3.875 0.000
0.000 0.000 0.000
3.156 3.156 0.000
1.094 4.250 1.679
2.061 1.094 1.679
4.250 5.217 1.679
5.217 2.061 1.679
```

Q: Which value of electronic total energy does entry 3 give?
A: -5.15 eV per atom

Q: electronic total energy of number 3 (Pm4CoAsI2)?
A: -5.15 eV per atom

Q: What is the electronic total energy in the first record?
A: -10.81 eV per atom

Please write out number 4 again, unchanged.
Compound: Be2SnMo2
Source: the Alexandria database
Functional: GGA-PBE
Structure: relaxed

Calculated values
Electronic total energy, eV per atom: -6.61
Space-group type: No. 127
ΔH_f (0 K), kJ/mol of atoms: 1

Geometry as POSCAR:
```
Be2SnMo2
1.0
6.311 0.000 0.000
0.000 6.311 0.000
0.000 0.000 3.359
Be Sn Mo
4 2 4
Cartesian
0.719 2.437 0.000
2.437 5.592 0.000
3.875 0.719 0.000
5.592 3.875 0.000
0.000 0.000 0.000
3.156 3.156 0.000
1.094 4.250 1.679
2.061 1.094 1.679
4.250 5.217 1.679
5.217 2.061 1.679
```